Here is a relaxed structure of Ca3NdRh8 from Alexandria. Energies are from PBE.

Unit cell a=5.364 b=5.364 c=9.325 alpha=73.28 beta=73.28 gamma=60.00
Fractional positions:
1 Ca 0.375 0.375 0.876
2 Ca 0.002 0.002 0.994
3 Ca 0.498 0.498 0.507
4 Nd 0.875 0.875 0.374
5 Rh 0.937 0.438 0.187
6 Rh 0.438 0.937 0.687
7 Rh 0.438 0.438 0.187
8 Rh 0.937 0.937 0.687
9 Rh 0.187 0.187 0.438
10 Rh 0.688 0.688 0.937
11 Rh 0.438 0.937 0.187
12 Rh 0.937 0.438 0.687

## Properties
Its space group is R3m (160).

---

Here is a relaxed structure of CaNd2Rh2 from Alexandria. Energies are from PBE.

Unit cell a=4.296 b=5.617 c=6.883 alpha=113.87 beta=108.18 gamma=90.00
Fractional positions:
1 Ca 0.000 0.000 0.000
2 Nd 0.319 0.318 0.637
3 Nd 0.681 0.682 0.363
4 Rh 0.655 0.155 0.309
5 Rh 0.345 0.845 0.691

## Properties
Its space group is C2/m (12). The value obtained for the energy above the most stable polymorph in this dataset is 9.1 kJ/mol of atoms.

---

no.,formation energy (eV per atom)
1,-0.497
2,-0.456